# MgMnF4

MgMnF4 after structural relaxation (PBE with a Hubbard U, Alexandria).

Lattice parameters (Å, degrees): 6.540 6.540 5.029 111.30 111.30 114.95
Element x y z (fractional)
Mg  0.087  0.913  0.750
Mg  0.913  0.087  0.250
Mn  0.348  0.652  0.250
Mn  0.652  0.348  0.750
F  0.032  0.623  0.827
F  0.195  0.276  0.777
F  0.276  0.195  0.277
F  0.377  0.968  0.673
F  0.623  0.032  0.327
F  0.724  0.805  0.723
F  0.805  0.724  0.223
F  0.968  0.377  0.173

Output
- DOS at the Fermi energy: 0.00 states/eV/cell
- Theoretical density: 3.6 Mg/m³
- Crystal system: monoclinic
- Energy: -5.833 eV/atom